TlIn2Hg2Bi | the Alexandria database | PBE | relaxed; E_form = 0.009 eV/atom; SG = No. 26
1.0
-0.1614 3.3124 3.5613
-1.9390 -5.5332 5.0587
9.3698 -1.5647 1.8801
In Bi Tl Hg
4 2 2 4
Direct
0.0000 0.7108 0.1306
0.0000 0.2108 0.8694
0.5000 0.3020 0.3413
0.5000 0.8020 0.6587
0.5000 0.7049 0.3384
0.5000 0.2049 0.6616
0.0000 0.0048 0.4388
0.0000 0.5048 0.5612
0.5000 0.5137 0.9321
0.5000 0.0137 0.0679
0.0000 0.8094 0.8375
0.0000 0.3094 0.1625